# 1
SmDy4Cu after structural relaxation. Source: Alexandria via LeMat-Bulk, functional PBE.

Cell lengths 3.525, 3.525, 13.709 Å; angles 90.00, 90.00, 90.00 degrees
Positions (direct):
Sm 0.000 0.000 0.000
Dy 0.000 0.000 0.376
Dy 0.000 0.000 0.624
Dy 0.500 0.500 0.186
Dy 0.500 0.500 0.814
Cu 0.500 0.500 0.500

Summary:
Formation enthalpy at 0 K, kJ/mol of atoms: -5.2
Crystal system: tetragonal
Symmetry: No. 123


# 2
SmDy2Cu2 after structural relaxation. Source: Alexandria via LeMat-Bulk, functional PBE.

Cell lengths 4.998, 4.644, 10.748 Å; angles 90.00, 96.90, 90.00 degrees
Positions (direct):
Sm 0.191 0.250 0.242
Sm 0.809 0.750 0.758
Dy 0.249 0.750 0.495
Dy 0.345 0.250 0.886
Dy 0.655 0.750 0.114
Dy 0.751 0.250 0.505
Cu 0.124 0.750 0.007
Cu 0.285 0.250 0.634
Cu 0.715 0.750 0.366
Cu 0.876 0.250 0.993

Summary:
Formation enthalpy at 0 K, kJ/mol of atoms: -10.3
Crystal system: monoclinic
Symmetry: No. 11


# 3
SmDyCu3 after structural relaxation. Source: Alexandria via LeMat-Bulk, functional PBE.

Cell lengths 12.879, 12.879, 4.304 Å; angles 90.00, 90.00, 163.48 degrees
Positions (direct):
Sm 0.072 0.928 0.750
Sm 0.928 0.072 0.250
Dy 0.204 0.796 0.250
Dy 0.796 0.204 0.750
Cu 0.327 0.673 0.250
Cu 0.381 0.619 0.750
Cu 0.477 0.523 0.750
Cu 0.523 0.477 0.250
Cu 0.619 0.381 0.250
Cu 0.673 0.327 0.750

Summary:
Formation enthalpy at 0 K, kJ/mol of atoms: -22.7
Crystal system: orthorhombic
Symmetry: No. 63


# 4
Sm3DyCu2 after structural relaxation. Source: Alexandria via LeMat-Bulk, functional PBE.

Cell lengths 4.985, 8.884, 6.956 Å; angles 90.00, 90.00, 90.00 degrees
Positions (direct):
Sm 0.000 0.078 0.000
Sm 0.000 0.339 0.365
Sm 0.000 0.661 0.865
Sm 0.000 0.922 0.500
Sm 0.500 0.163 0.653
Sm 0.500 0.837 0.153
Dy 0.500 0.425 0.020
Dy 0.500 0.575 0.520
Cu 0.000 0.349 0.773
Cu 0.000 0.651 0.273
Cu 0.500 0.156 0.245
Cu 0.500 0.844 0.745

Summary:
Formation enthalpy at 0 K, kJ/mol of atoms: -12.1
Crystal system: orthorhombic
Symmetry: No. 26


What is the formation enthalpy at 0 K in the third record?
-22.7 kJ/mol of atoms